First-principles (GGA-PBE) data for Ba2NaDySe4 after structural relaxation, as listed in Alexandria.

```
Ba2NaDySe4
1.0
4.448 0.000 0.000
0.000 7.723 0.209
0.000 -2.657 7.184
Se Ba Na Dy
4 2 1 1
Direct
0.000 0.242 0.778
0.000 0.758 0.222
0.500 0.771 0.784
0.500 0.229 0.216
0.000 0.500 0.500
0.500 0.000 0.500
0.500 0.500 0.000
0.000 0.000 0.000
```

Output
M_tot: 0.000 μB/atom
Raw formation energy: -1.79 eV/atom
Total energy: -4.7574 eV per atom